# 1
# Co2TcNi

An optimized crystal structure of Co2TcNi (PBE, Alexandria via LeMat-Bulk).

Unit cell a=2.5578 b=3.5780 c=5.0449 alpha=90.00 beta=90.00 gamma=90.00
Last column: nearest neighbours and their distance in Å.
Fractional positions:
1 Co 0.0000 0.0000 0.2447  4 Co 2.47-2.58, 4 Ni 2.52, 4 Tc 2.55
2 Co 0.0000 0.0000 0.7553  4 Co 2.47-2.58, 4 Ni 2.52, 4 Tc 2.55
3 Tc 0.5000 0.5000 0.5000  2 Ni 2.52, 8 Co 2.55, 2 Tc 2.56
4 Ni 0.5000 0.5000 0.0000  8 Co 2.52, 2 Tc 2.52, 2 Ni 2.56

Results
- Energy above the most stable polymorph in this dataset: 0.024 eV/atom
- Space group: Pmmm (47)
- DFT formation energy: 71.9 meV/atom
- V: 11.54 Å³/atom



# 2
# CoTc2Ni

An optimized crystal structure of CoTc2Ni (PBE, Alexandria via LeMat-Bulk).

Unit cell a=4.5767 b=4.5767 c=2.5838 alpha=90.00 beta=90.00 gamma=111.16
Last column: nearest neighbours and their distance in Å.
Fractional positions:
1 Co 0.0000 0.0000 0.0000  2 Co 2.58, 2 Ni 2.59, 8 Tc 2.63
2 Tc 0.0000 0.5000 0.5000  4 Tc 2.58-2.59, 4 Co 2.63, 4 Ni 2.63
3 Tc 0.5000 0.0000 0.5000  4 Tc 2.58-2.59, 4 Co 2.63, 4 Ni 2.63
4 Ni 0.5000 0.5000 0.0000  2 Ni 2.58, 2 Co 2.59, 8 Tc 2.63

Results
- Energy above the most stable polymorph in this dataset: 0.093 eV/atom
- Space group: Cmmm (65)
- DFT formation energy: 56.0 meV/atom
- V: 12.62 Å³/atom



# 3
# Co2TcNi4

An optimized crystal structure of Co2TcNi4 (PBE, Alexandria via LeMat-Bulk).

Unit cell a=8.6849 b=8.6849 c=2.4916 alpha=90.00 beta=90.00 gamma=154.57
Last column: nearest neighbours and their distance in Å.
Fractional positions:
1 Co 0.2136 0.7864 0.0000  4 Co 2.27-2.49, 5 Ni 2.38-2.52
2 Co 0.7864 0.2136 0.0000  4 Co 2.27-2.49, 5 Ni 2.38-2.52
3 Tc 0.5000 0.5000 0.5000  2 Tc 2.49, 10 Ni 2.56-2.60
4 Ni 0.0734 0.9266 0.0000  1 Co 2.38, 7 Ni 2.49-2.63, 4 Tc 2.60
5 Ni 0.3489 0.6511 0.5000  6 Ni 2.49-2.63, 6 Co 2.52-2.61, 1 Tc 2.56
6 Ni 0.6511 0.3489 0.5000  6 Ni 2.49-2.63, 6 Co 2.52-2.61, 1 Tc 2.56
7 Ni 0.9266 0.0734 0.0000  1 Co 2.38, 7 Ni 2.49-2.63, 4 Tc 2.60

Results
- Space group: Cmmm (65)
- DFT formation energy: 60.5 meV/atom
- V: 11.53 Å³/atom



# 4
# CoTcNi

An optimized crystal structure of CoTcNi (PBE, Alexandria via LeMat-Bulk).

Unit cell a=2.6127 b=2.6127 c=6.2555 alpha=90.00 beta=90.00 gamma=120.00
Last column: nearest neighbours and their distance in Å.
Fractional positions:
1 Co 0.0000 0.0000 0.0000  3 Ni 2.52, 3 Tc 2.57, 6 Co 2.61
2 Tc 0.3333 0.6667 0.6673  3 Co 2.57, 6 Tc 2.61, 3 Ni 2.63
3 Ni 0.6667 0.3333 0.3237  3 Co 2.52, 6 Ni 2.61, 3 Tc 2.63

Results
- Energy above the most stable polymorph in this dataset: 0.130 eV/atom
- Space group: P3m1 (156)
- DFT formation energy: 137.8 meV/atom
- V: 12.33 Å³/atom



# 5
# CoTcNi

An optimized crystal structure of CoTcNi (PBE, Alexandria via LeMat-Bulk).

Unit cell a=4.5132 b=4.5132 c=4.2649 alpha=90.00 beta=90.00 gamma=123.69
Last column: nearest neighbours and their distance in Å.
Fractional positions:
1 Co 0.2499 0.7501 0.7500  5 Tc 2.46-2.75, 5 Ni 2.51-2.65
2 Co 0.7501 0.2499 0.2500  5 Tc 2.46-2.75, 5 Ni 2.51-2.65
3 Tc 0.0954 0.9046 0.2500  5 Co 2.46-2.75, 3 Ni 2.56, 2 Tc 2.62
4 Tc 0.9046 0.0954 0.7500  5 Co 2.46-2.75, 3 Ni 2.56, 2 Tc 2.62
5 Ni 0.4174 0.5826 0.2500  2 Ni 2.51, 5 Co 2.51-2.65, 3 Tc 2.56
6 Ni 0.5826 0.4174 0.7500  2 Ni 2.51, 5 Co 2.51-2.65, 3 Tc 2.56

Results
- Energy above the most stable polymorph in this dataset: 0.153 eV/atom
- Space group: Cmcm (63)
- DFT formation energy: 161.0 meV/atom
- V: 12.05 Å³/atom



# 6
# CoTc2Ni

An optimized crystal structure of CoTc2Ni (PBE, Alexandria via LeMat-Bulk).

Unit cell a=3.1344 b=3.1344 c=5.2250 alpha=90.00 beta=90.00 gamma=90.00
Last column: nearest neighbours and their distance in Å.
Fractional positions:
1 Co 0.0000 0.0000 0.0000  8 Tc 2.59, 2 Ni 2.61
2 Tc 0.5000 0.5000 0.2548  4 Ni 2.56, 2 Tc 2.56-2.66, 4 Co 2.59
3 Tc 0.5000 0.5000 0.7452  4 Ni 2.56, 2 Tc 2.56-2.66, 4 Co 2.59
4 Ni 0.0000 0.0000 0.5000  8 Tc 2.56, 2 Co 2.61

Results
- Energy above the most stable polymorph in this dataset: 0.245 eV/atom
- Space group: P4/mmm (123)
- DFT formation energy: 207.7 meV/atom
- V: 12.83 Å³/atom



# 7
# Co2TcNi

An optimized crystal structure of Co2TcNi (PBE, Alexandria via LeMat-Bulk).

Unit cell a=2.5722 b=2.5722 c=7.1118 alpha=90.00 beta=90.00 gamma=90.00
Last column: nearest neighbours and their distance in Å.
Fractional positions:
1 Co 0.0000 0.0000 0.2385  4 Ni 2.49, 4 Co 2.57, 4 Tc 2.60
2 Co 0.0000 0.0000 0.7615  4 Ni 2.49, 4 Co 2.57, 4 Tc 2.60
3 Tc 0.5000 0.5000 0.5000  4 Tc 2.57, 8 Co 2.60
4 Ni 0.5000 0.5000 0.0000  8 Co 2.49, 4 Ni 2.57

Results
- Energy above the most stable polymorph in this dataset: 0.027 eV/atom
- Space group: P4/mmm (123)
- DFT formation energy: 75.1 meV/atom
- V: 11.76 Å³/atom



# 8
# Co4TcNi15

An optimized crystal structure of Co4TcNi15 (PBE, Alexandria via LeMat-Bulk).

Unit cell a=3.5460 b=3.5460 c=17.6205 alpha=90.00 beta=90.00 gamma=90.00
Last column: nearest neighbours and their distance in Å.
Fractional positions:
1 Co 0.0000 0.0000 0.0986  12 Ni 2.48-2.51
2 Co 0.0000 0.0000 0.2950  12 Ni 2.47-2.52
3 Co 0.0000 0.0000 0.7050  12 Ni 2.47-2.52
4 Co 0.0000 0.0000 0.9014  12 Ni 2.48-2.51
5 Tc 0.0000 0.0000 0.5000  12 Ni 2.51-2.54
6 Ni 0.0000 0.5000 0.0000  4 Co 2.48, 8 Ni 2.49-2.51
7 Ni 0.0000 0.5000 0.1976  4 Co 2.47-2.49, 8 Ni 2.48-2.51
8 Ni 0.0000 0.5000 0.3966  8 Ni 2.50-2.54, 2 Co 2.52, 2 Tc 2.54
9 Ni 0.0000 0.5000 0.6034  8 Ni 2.50-2.54, 2 Co 2.52, 2 Tc 2.54
10 Ni 0.0000 0.5000 0.8024  4 Co 2.47-2.49, 8 Ni 2.48-2.51
11 Ni 0.5000 0.0000 0.0000  4 Co 2.48, 8 Ni 2.49-2.51
12 Ni 0.5000 0.0000 0.1976  4 Co 2.47-2.49, 8 Ni 2.48-2.51
13 Ni 0.5000 0.0000 0.3966  8 Ni 2.50-2.54, 2 Co 2.52, 2 Tc 2.54
14 Ni 0.5000 0.0000 0.6034  8 Ni 2.50-2.54, 2 Co 2.52, 2 Tc 2.54
15 Ni 0.5000 0.0000 0.8024  4 Co 2.47-2.49, 8 Ni 2.48-2.51
16 Ni 0.5000 0.5000 0.0989  8 Ni 2.48-2.49, 4 Co 2.51
17 Ni 0.5000 0.5000 0.2965  8 Ni 2.49-2.50, 4 Co 2.51
18 Ni 0.5000 0.5000 0.5000  4 Tc 2.51, 8 Ni 2.54
19 Ni 0.5000 0.5000 0.7035  8 Ni 2.49-2.50, 4 Co 2.51
20 Ni 0.5000 0.5000 0.9011  8 Ni 2.48-2.49, 4 Co 2.51

Results
- Space group: P4/mmm (123)
- DFT formation energy: 35.2 meV/atom
- V: 11.08 Å³/atom